This record from the Alexandria database describes a geometry-optimized KTl2Ag structure. The functional is GGA-PBE.

```
4
Lattice="6.508 -0.025 0.115 5.465 3.535 0.115 2.556 0.749 5.319" Properties=species:S:1:pos:R:3 pbc="T T T"
Tl 2.917 0.855 5.117
Tl 6.903 2.024 2.976
Ag 10.897 3.194 4.162
K 3.632 1.065 1.387
```

Properties
Fermi-level density of states in states/eV per cell: 2.3
Mass density in g/cm³: 7.6
SG: C2/m
Total magnetic moment in μB/atom: 0.000
Raw total energy in eV/atom: -2.171
Formation energy from the elements in meV/atom: -1


This record from the Alexandria database describes a geometry-optimized ZrTa2Rh structure. The functional is GGA-PBE.

```
4
Lattice="4.654 0.000 0.000 2.327 4.030 0.000 2.327 1.343 3.800" Properties=species:S:1:pos:R:3 pbc="T T T"
Ta 2.327 1.343 0.950
Ta 0.000 0.000 0.000
Zr 6.981 4.030 2.850
Rh 4.654 2.687 1.900
```

Properties
Fermi-level density of states in states/eV per cell: 2.7
Mass density in g/cm³: 13.0
SG: F-43m
Total magnetic moment in μB/atom: 0.000
Raw total energy in eV/atom: -10.123
Formation energy from the elements in meV/atom: -222


This record from the Alexandria database describes a geometry-optimized MnAlCd2 structure. The functional is GGA-PBE.

```
4
Lattice="10.015 0.074 0.044 9.558 2.990 0.044 9.558 1.496 2.589" Properties=species:S:1:pos:R:3 pbc="T T T"
Al 22.171 3.471 2.037
Cd 6.992 1.095 0.642
Cd 0.139 0.022 0.013
Mn 14.394 2.253 1.322
```

Properties
Fermi-level density of states in states/eV per cell: 2.3
Mass density in g/cm³: 6.8
SG: R3m
Total magnetic moment in μB/atom: 0.794
Raw total energy in eV/atom: -3.541
Formation energy from the elements in meV/atom: 145


This record from the Alexandria database describes a geometry-optimized SrLaRu structure. The functional is GGA-PBE.

```
3
Lattice="4.331 0.000 0.000 -2.165 3.750 0.000 0.000 0.000 6.394" Properties=species:S:1:pos:R:3 pbc="T T T"
La 0.000 0.000 0.868
Ru 2.165 1.250 1.745
Sr 0.000 2.500 3.781
```

Properties
Offset from the most stable computed form in eV per formula unit: 0.08
Fermi-level density of states in states/eV per cell: 2.1
Mass density in g/cm³: 5.2
SG: P3m1
Total magnetic moment in μB/atom: 0.000
Raw total energy in eV/atom: -5.250
Formation energy from the elements in meV/atom: 46